Crystalline MgCd6Ag8 at its relaxed geometry. Source: Alexandria, functional GGA-PBE.

The structure in POSCAR format:
```
MgCd6Ag8
1.0
8.627 0.000 0.000
-4.313 7.471 0.000
0.000 0.000 4.842
Mg Cd Ag
1 6 8
direct
0.000 0.000 0.000 Mg
0.213 0.425 0.000 Cd
0.213 0.787 0.000 Cd
0.425 0.213 0.000 Cd
0.575 0.787 0.000 Cd
0.787 0.213 0.000 Cd
0.787 0.575 0.000 Cd
0.000 0.326 0.500 Ag
0.000 0.674 0.500 Ag
0.326 0.000 0.500 Ag
0.326 0.326 0.500 Ag
0.333 0.667 0.500 Ag
0.667 0.333 0.500 Ag
0.674 0.000 0.500 Ag
0.674 0.674 0.500 Ag
```

Output
Its spin magnetization is 0.00 μB/f.u. The calculation puts the density at 8.309 g/cm3. The energy is -2.00 eV/atom. Its excess energy over the best structure of this formula in the dataset is 0 meV/atom. The calculation puts the energy of formation at -0.0028 eV/atom. Its crystal system is hexagonal.